The following is a DFT calculation (PBE) of an optimized crystal structure of HoBeNb.

Cell and atoms, written as POSCAR:
```
HoBeNb
1.0
0.000 3.255 3.255
3.255 0.000 3.255
3.255 3.255 0.000
Ho Be Nb
1 1 1
direct
0.000 0.000 0.000 Ho
0.750 0.750 0.750 Be
0.250 0.250 0.250 Nb
```

## Properties
The offset from the most stable computed form comes out at 933 meV/atom.